[1]
DFT (PBE) results for a geometry-optimized CeMnGe2 structure.

Cell: 8.9663 8.9663 4.1806 Å, 90.00 90.00 152.77°
With the nearest neighbours (Å) after each atom.
Fractional coordinates of all 8 atoms:
Ce (0.1440, 0.8560, 0.0000)  10 Ge 3.18-3.31, 4 Mn 3.22
Ce (0.8560, 0.1440, 0.0000)  10 Ge 3.18-3.31, 4 Mn 3.22
Mn (0.4271, 0.5729, 0.5000)  5 Ge 2.37-2.46, 1 Mn 2.54
Mn (0.5729, 0.4271, 0.5000)  5 Ge 2.37-2.46, 1 Mn 2.54
Ge (0.0000, 0.0000, 0.5000)  4 Mn 2.46
Ge (0.2912, 0.7088, 0.5000)  1 Mn 2.37, 2 Ge 2.55
Ge (0.5000, 0.5000, 0.0000)  4 Mn 2.45
Ge (0.7088, 0.2912, 0.5000)  1 Mn 2.37, 2 Ge 2.55

Output
uncorrected energy = -0.240 hartree per atom

---

[2]
DFT (PBE) results for a geometry-optimized AcEr3Hg4 structure.

Cell: 5.3097 5.3097 7.7149 Å, 90.00 90.00 90.00°
With the nearest neighbours (Å) after each atom.
Fractional coordinates of all 8 atoms:
Ac (0.0000, 0.0000, 0.0000)  8 Hg 3.39, 4 Er 3.75
Er (0.0000, 0.0000, 0.5000)  8 Hg 3.18
Er (0.5000, 0.5000, 0.0000)  8 Hg 3.39, 4 Ac 3.75
Er (0.5000, 0.5000, 0.5000)  8 Hg 3.18
Hg (0.0000, 0.5000, 0.2733)  6 Er 3.18-3.39, 2 Ac 3.39, 1 Hg 3.50
Hg (0.0000, 0.5000, 0.7267)  6 Er 3.18-3.39, 2 Ac 3.39, 1 Hg 3.50
Hg (0.5000, 0.0000, 0.2733)  6 Er 3.18-3.39, 2 Ac 3.39, 1 Hg 3.50
Hg (0.5000, 0.0000, 0.7267)  6 Er 3.18-3.39, 2 Ac 3.39, 1 Hg 3.50

Output
uncorrected energy = -0.103 hartree per atom

---

[3]
DFT (PBE) results for a geometry-optimized BaY2Ag2 structure.

Cell: 7.2562 7.2562 7.2562 Å, 139.46 139.46 58.67°
With the nearest neighbours (Å) after each atom.
Fractional coordinates of all 5 atoms:
Ba (0.0000, 0.0000, 0.0000)  8 Ag 3.83, 8 Y 4.04
Y (0.2500, 0.7500, 0.5000)  4 Ag 3.06
Y (0.7500, 0.2500, 0.5000)  4 Ag 3.06
Ag (0.3873, 0.3873, 0.0000)  1 Ag 2.85, 4 Y 3.06
Ag (0.6127, 0.6127, 0.0000)  1 Ag 2.85, 4 Y 3.06

Output
uncorrected energy = -0.155 hartree per atom
energy above the lowest structure with this stoichiometry = 1 meV/atom

---

[4]
DFT (PBE) results for a geometry-optimized SmBeP structure.

Cell: 6.6984 4.2413 8.0418 Å, 90.00 90.00 90.00°
With the nearest neighbours (Å) after each atom.
Fractional coordinates of all 12 atoms:
Sm (0.1545, 0.2500, 0.1648)  5 P 2.77-2.93, 3 Be 2.97-3.08
Sm (0.3455, 0.7500, 0.6648)  5 P 2.77-2.93, 3 Be 2.97-3.08
Sm (0.6545, 0.2500, 0.3352)  5 P 2.77-2.93, 3 Be 2.97-3.08
Sm (0.8455, 0.7500, 0.8352)  5 P 2.77-2.93, 3 Be 2.97-3.08
Be (0.0153, 0.7500, 0.4174)  2 P 2.20-2.39
Be (0.4847, 0.2500, 0.9174)  2 P 2.20-2.39
Be (0.5153, 0.7500, 0.0826)  2 P 2.20-2.39
Be (0.9847, 0.2500, 0.5826)  2 P 2.20-2.39
P (0.1473, 0.2500, 0.8205)  2 Be 2.20-2.39
P (0.3527, 0.7500, 0.3205)  2 Be 2.20-2.39
P (0.6473, 0.2500, 0.6795)  2 Be 2.20-2.39
P (0.8527, 0.7500, 0.1795)  2 Be 2.20-2.39

Output
uncorrected energy = -0.200 hartree per atom
energy above the lowest structure with this stoichiometry = 176 meV/atom

---

[5]
DFT (PBE) results for a geometry-optimized Ce5PuAl structure.

Cell: 6.0774 6.0774 10.8178 Å, 105.44 105.44 75.53°
With the nearest neighbours (Å) after each atom.
Fractional coordinates of all 14 atoms:
Ce (0.0018, 0.9982, 0.7500)  2 Pu 2.70
Ce (0.0828, 0.3877, 0.1085)  1 Pu 2.45
Ce (0.1736, 0.5835, 0.4465)  1 Pu 2.46
Ce (0.3877, 0.0828, 0.6085)  1 Pu 2.45
Ce (0.4165, 0.8264, 0.0535)  1 Pu 2.46
Ce (0.5835, 0.1736, 0.9465)  1 Pu 2.46
Ce (0.6123, 0.9172, 0.3915)  1 Pu 2.45
Ce (0.8264, 0.4165, 0.5535)  1 Pu 2.46
Ce (0.9172, 0.6123, 0.8915)  1 Pu 2.45
Ce (0.9982, 0.0018, 0.2500)  2 Pu 2.70
Pu (0.0000, 0.0000, 0.0000)  6 Ce 2.45-2.70
Pu (0.0000, 0.0000, 0.5000)  6 Ce 2.45-2.70
Al (0.4125, 0.5875, 0.7500)  5 Ce 3.06-3.21
Al (0.5875, 0.4125, 0.2500)  5 Ce 3.06-3.21

Output
uncorrected energy = -0.252 hartree per atom
energy above the lowest structure with this stoichiometry = 0 meV/atom

---

[6]
DFT (PBE) results for a geometry-optimized PtW2 structure.

Cell: 4.9623 4.9623 4.9623 Å, 148.26 131.33 59.28°
With the nearest neighbours (Å) after each atom.
Fractional coordinates of all 3 atoms:
Pt (0.0000, 0.0000, 0.0000)  2 Pt 2.71, 10 W 2.85
W (0.3309, 0.3309, 0.0000)  7 W 2.71-2.92, 5 Pt 2.85
W (0.6691, 0.6691, 0.0000)  7 W 2.71-2.92, 5 Pt 2.85

Output
uncorrected energy = -0.391 hartree per atom
energy above the lowest structure with this stoichiometry = 95 meV/atom

---

[7]
DFT (PBE) results for a geometry-optimized NaNd2Eu structure.

Cell: 13.3970 13.3970 13.3970 Å, 15.54 15.54 15.54°
With the nearest neighbours (Å) after each atom.
Fractional coordinates of all 4 atoms:
Na (0.0000, 0.0000, 0.0000)  2 Nd 3.54, 6 Na 3.62
Nd (0.0892, 0.0892, 0.0892)  1 Na 3.54, 6 Nd 3.62, 3 Eu 3.72
Nd (0.9108, 0.9108, 0.9108)  1 Na 3.54, 6 Nd 3.62, 3 Eu 3.72
Eu (0.5000, 0.5000, 0.5000)  6 Eu 3.62, 6 Nd 3.72

Output
uncorrected energy = -0.187 hartree per atom

---

[8]
DFT (PBE) results for a geometry-optimized PuUI6 structure.

Cell: 8.0421 8.0421 7.6487 Å, 98.50 98.50 123.13°
With the nearest neighbours (Å) after each atom.
Fractional coordinates of all 8 atoms:
Pu (0.0000, 0.0000, 0.0000)  6 I 3.14
U (0.5000, 0.5000, 0.5000)  6 I 3.06-3.08
I (0.1045, 0.4086, 0.2527)  1 U 3.08, 1 Pu 3.14
I (0.2509, 0.2509, 0.7443)  1 U 3.06, 1 Pu 3.14
I (0.4086, 0.1045, 0.2527)  1 U 3.08, 1 Pu 3.14
I (0.5914, 0.8955, 0.7473)  1 U 3.08, 1 Pu 3.14
I (0.7491, 0.7491, 0.2557)  1 U 3.06, 1 Pu 3.14
I (0.8955, 0.5914, 0.7473)  1 U 3.08, 1 Pu 3.14

Output
uncorrected energy = -0.195 hartree per atom
E_form (uncorrected) = -7.47 eV per formula unit

---

Number 1: calculated volume 19.2 Å³ per atom. Number 2: calculated volume 27.2 Å³ per atom. Number 3: calculated volume 32.0 Å³ per atom. Number 4: calculated volume 19.0 Å³ per atom. Number 5: calculated volume 26.0 Å³ per atom. Number 6: calculated volume 16.0 Å³ per atom. Number 7: calculated volume 37.6 Å³ per atom. Number 8: calculated volume 49.2 Å³ per atom.